1.
# RbTaRe2Se | the Alexandria database | GGA-PBEsol | relaxed
data_RbTaRe2Se
_space_group_name_H-M_alt 'P 4/m m m'
_space_group_IT_number 123
_space_group_name_Hall '-P 4 2'
_cell_length_a 4.670
_cell_length_b 4.670
_cell_length_c 4.737
_cell_angle_alpha 90.00
_cell_angle_beta 90.00
_cell_angle_gamma 90.00
loop_
_atom_site_label
_atom_site_type_symbol
_atom_site_fract_x
_atom_site_fract_y
_atom_site_fract_z
_atom_site_occupancy
Rb1 Rb 0.000 0.000 0.000 1
Ta1 Ta 0.000 0.000 0.500 1
Re1 Re 0.000 0.500 0.000 1
Se1 Se 0.500 0.500 0.500 1
# Raw formation energy (kcal/mol of atoms): 88.9
# Crystal system: tetragonal
# Total DFT energy (no corrections) (eV for the cell shown): -24.8



2.
# RbReSi2Te | the Alexandria database | GGA-PBEsol | relaxed
data_RbReSi2Te
_space_group_name_H-M_alt 'P 4/m m m'
_space_group_IT_number 123
_space_group_name_Hall '-P 4 2'
_cell_length_a 5.235
_cell_length_b 5.235
_cell_length_c 6.194
_cell_angle_alpha 90.00
_cell_angle_beta 90.00
_cell_angle_gamma 90.00
loop_
_atom_site_label
_atom_site_type_symbol
_atom_site_fract_x
_atom_site_fract_y
_atom_site_fract_z
_atom_site_occupancy
Rb1 Rb 0.000 0.000 0.000 1
Re1 Re 0.500 0.500 0.000 1
Si1 Si 0.000 0.500 0.500 1
Te1 Te 0.000 0.000 0.500 1
# Raw formation energy (kcal/mol of atoms): 50.0
# Crystal system: tetragonal
# Total DFT energy (no corrections) (eV for the cell shown): -18.5



3.
# RbRe3Sn | the Alexandria database | GGA-PBEsol | relaxed
data_RbRe3Sn
_space_group_name_H-M_alt 'P m -3 m'
_space_group_IT_number 221
_space_group_name_Hall '-P 4 2 3'
_cell_length_a 4.693
_cell_length_b 4.693
_cell_length_c 4.693
_cell_angle_alpha 90.00
_cell_angle_beta 90.00
_cell_angle_gamma 90.00
loop_
_atom_site_label
_atom_site_type_symbol
_atom_site_fract_x
_atom_site_fract_y
_atom_site_fract_z
_atom_site_occupancy
Rb1 Rb 0.000 0.000 0.000 1
Re1 Re 0.000 0.000 0.500 1
Sn1 Sn 0.500 0.500 0.500 1
# Crystal system: cubic
# Total DFT energy (no corrections) (eV for the cell shown): -25.5



4.
# RbRe3Sn | the Alexandria database | GGA-PBEsol | relaxed
data_RbRe3Sn
_space_group_name_H-M_alt 'P m -3 m'
_space_group_IT_number 221
_space_group_name_Hall '-P 4 2 3'
_cell_length_a 5.003
_cell_length_b 5.003
_cell_length_c 5.003
_cell_angle_alpha 90.00
_cell_angle_beta 90.00
_cell_angle_gamma 90.00
loop_
_atom_site_label
_atom_site_type_symbol
_atom_site_fract_x
_atom_site_fract_y
_atom_site_fract_z
_atom_site_occupancy
Rb1 Rb 0.000 0.000 0.000 1
Re1 Re 0.000 0.500 0.500 1
Sn1 Sn 0.500 0.500 0.500 1
# Crystal system: cubic
# Total DFT energy (no corrections) (eV for the cell shown): -30.6



5.
# Rb2Re2Tc | the Alexandria database | GGA-PBEsol | relaxed
data_Rb2Re2Tc
_space_group_name_H-M_alt 'I 4/m m m'
_space_group_IT_number 139
_space_group_name_Hall '-I 4 2'
_cell_length_a 3.448
_cell_length_b 3.448
_cell_length_c 23.664
_cell_angle_alpha 90.00
_cell_angle_beta 90.00
_cell_angle_gamma 90.00
loop_
_atom_site_label
_atom_site_type_symbol
_atom_site_fract_x
_atom_site_fract_y
_atom_site_fract_z
_atom_site_occupancy
Rb1 Rb 0.000 0.000 0.114 1
Re1 Re 0.000 0.500 0.250 1
Tc1 Tc 0.000 0.000 0.500 1
# Crystal system: tetragonal
# Total DFT energy (no corrections) (eV for the cell shown): -61.9



6.
# RbYRe2 | the Alexandria database | GGA-PBEsol | relaxed
data_RbYRe2
_space_group_name_H-M_alt 'F m -3 m'
_space_group_IT_number 225
_space_group_name_Hall '-F 4 2 3'
_cell_length_a 6.942
_cell_length_b 6.942
_cell_length_c 6.942
_cell_angle_alpha 90.00
_cell_angle_beta 90.00
_cell_angle_gamma 90.00
loop_
_atom_site_label
_atom_site_type_symbol
_atom_site_fract_x
_atom_site_fract_y
_atom_site_fract_z
_atom_site_occupancy
Rb1 Rb 0.000 0.000 0.000 1
Y1 Y 0.000 0.000 0.500 1
Re1 Re 0.250 0.250 0.250 1
# Crystal system: cubic
# Total DFT energy (no corrections) (eV for the cell shown): -104.8



7.
# RbZn2Re | the Alexandria database | GGA-PBEsol | relaxed
data_RbZn2Re
_space_group_name_H-M_alt 'F m -3 m'
_space_group_IT_number 225
_space_group_name_Hall '-F 4 2 3'
_cell_length_a 6.803
_cell_length_b 6.803
_cell_length_c 6.803
_cell_angle_alpha 90.00
_cell_angle_beta 90.00
_cell_angle_gamma 90.00
loop_
_atom_site_label
_atom_site_type_symbol
_atom_site_fract_x
_atom_site_fract_y
_atom_site_fract_z
_atom_site_occupancy
Rb1 Rb 0.000 0.000 0.000 1
Zn1 Zn 0.250 0.250 0.250 1
Re1 Re 0.000 0.000 0.500 1
# Crystal system: cubic
# Total DFT energy (no corrections) (eV for the cell shown): -48.4



8.
# RbSc3Rh | the Alexandria database | GGA-PBEsol | relaxed
data_RbSc3Rh
_space_group_name_H-M_alt 'P m -3 m'
_space_group_IT_number 221
_space_group_name_Hall '-P 4 2 3'
_cell_length_a 4.771
_cell_length_b 4.771
_cell_length_c 4.771
_cell_angle_alpha 90.00
_cell_angle_beta 90.00
_cell_angle_gamma 90.00
loop_
_atom_site_label
_atom_site_type_symbol
_atom_site_fract_x
_atom_site_fract_y
_atom_site_fract_z
_atom_site_occupancy
Rb1 Rb 0.000 0.000 0.000 1
Sc1 Sc 0.000 0.000 0.500 1
Rh1 Rh 0.500 0.500 0.500 1
# Crystal system: cubic
# Total DFT energy (no corrections) (eV for the cell shown): -21.2



9.
# RbZnSi2Rh | the Alexandria database | GGA-PBEsol | relaxed
data_RbZnSi2Rh
_space_group_name_H-M_alt 'P 4/m m m'
_space_group_IT_number 123
_space_group_name_Hall '-P 4 2'
_cell_length_a 4.638
_cell_length_b 4.638
_cell_length_c 4.898
_cell_angle_alpha 90.00
_cell_angle_beta 90.00
_cell_angle_gamma 90.00
loop_
_atom_site_label
_atom_site_type_symbol
_atom_site_fract_x
_atom_site_fract_y
_atom_site_fract_z
_atom_site_occupancy
Rb1 Rb 0.000 0.000 0.000 1
Zn1 Zn 0.500 0.500 0.000 1
Si1 Si 0.000 0.500 0.500 1
Rh1 Rh 0.500 0.500 0.500 1
# Raw formation energy (kcal/mol of atoms): 1.7
# Crystal system: tetragonal
# Total DFT energy (no corrections) (eV for the cell shown): -21.9



10.
# RbSn2Rh2 | the Alexandria database | GGA-PBEsol | relaxed
data_RbSn2Rh2
_space_group_name_H-M_alt 'I 4/m m m'
_space_group_IT_number 139
_space_group_name_Hall '-I 4 2'
_cell_length_a 4.393
_cell_length_b 4.393
_cell_length_c 12.286
_cell_angle_alpha 90.00
_cell_angle_beta 90.00
_cell_angle_gamma 90.00
loop_
_atom_site_label
_atom_site_type_symbol
_atom_site_fract_x
_atom_site_fract_y
_atom_site_fract_z
_atom_site_occupancy
Rb1 Rb 0.000 0.000 0.000 1
Sn1 Sn 0.000 0.000 0.361 1
Rh1 Rh 0.000 0.500 0.250 1
# Crystal system: tetragonal
# Total DFT energy (no corrections) (eV for the cell shown): -54.1



11.
# RbSn2Rh | the Alexandria database | GGA-PBEsol | relaxed
data_RbSn2Rh
_space_group_name_H-M_alt 'F m -3 m'
_space_group_IT_number 225
_space_group_name_Hall '-F 4 2 3'
_cell_length_a 7.080
_cell_length_b 7.080
_cell_length_c 7.080
_cell_angle_alpha 90.00
_cell_angle_beta 90.00
_cell_angle_gamma 90.00
loop_
_atom_site_label
_atom_site_type_symbol
_atom_site_fract_x
_atom_site_fract_y
_atom_site_fract_z
_atom_site_occupancy
Rb1 Rb 0.000 0.000 0.000 1
Sn1 Sn 0.250 0.250 0.250 1
Rh1 Rh 0.000 0.000 0.500 1
# Crystal system: cubic
# Total DFT energy (no corrections) (eV for the cell shown): -66.7



12.
# RbSr3Rh | the Alexandria database | GGA-PBEsol | relaxed
data_RbSr3Rh
_space_group_name_H-M_alt 'P m -3 m'
_space_group_IT_number 221
_space_group_name_Hall '-P 4 2 3'
_cell_length_a 5.983
_cell_length_b 5.983
_cell_length_c 5.983
_cell_angle_alpha 90.00
_cell_angle_beta 90.00
_cell_angle_gamma 90.00
loop_
_atom_site_label
_atom_site_type_symbol
_atom_site_fract_x
_atom_site_fract_y
_atom_site_fract_z
_atom_site_occupancy
Rb1 Rb 0.000 0.000 0.000 1
Sr1 Sr 0.000 0.500 0.500 1
Rh1 Rh 0.500 0.500 0.500 1
# Crystal system: cubic
# Total DFT energy (no corrections) (eV for the cell shown): -14.8